No. 1
Entry from Alexandria via LeMat-Bulk: a geometry-optimized TeRhBr2 structure (PBE). Values from VASP.

Quantum ESPRESSO input file:
```
&SYSTEM
  ibrav = 0, nat = 4, ntyp = 3
/
ATOMIC_SPECIES
Te 127.60 Te.upf
Rh 102.91 Rh.upf
Br 79.90 Br.upf
CELL_PARAMETERS angstrom
5.462 0.000 0.000
0.000 3.749 0.000
-1.411 0.000 5.314
ATOMIC_POSITIONS crystal
Te 0.000 0.000 0.000
Rh 0.303 0.500 0.178
Br 0.280 0.500 0.654
Br 0.656 0.000 0.312
```

Computed properties:
total magnetic moment = 0.000 μB per atom
space group = Pm
N(E_F) = 0.19 states/eV per atom
E_form (uncorrected) = -0.898 eV per formula unit
calculated total energy = -14.74 eV for the cell shown



No. 2
Entry from Alexandria via LeMat-Bulk: a geometry-optimized In2FeP structure (PBE). Values from VASP.

Quantum ESPRESSO input file:
```
&SYSTEM
  ibrav = 0, nat = 4, ntyp = 3
/
ATOMIC_SPECIES
In 114.82 In.upf
Fe 55.84 Fe.upf
P 30.97 P.upf
CELL_PARAMETERS angstrom
-1.455 2.250 5.786
1.455 -2.250 5.786
1.455 2.250 -5.786
ATOMIC_POSITIONS crystal
In 0.000 0.000 0.000
In 0.695 0.195 0.500
Fe 0.477 0.477 0.000
P 0.334 0.834 0.500
```

Computed properties:
total magnetic moment = 0.006 μB per atom
space group = Imm2
E_form = 111 meV/atom
N(E_F) = 0.77 states/eV per atom
calculated total energy = -18.91 eV for the cell shown



No. 3
Entry from Alexandria via LeMat-Bulk: a geometry-optimized Ho6AlPd structure (PBE). Values from VASP.

Quantum ESPRESSO input file:
```
&SYSTEM
  ibrav = 0, nat = 8, ntyp = 3
/
ATOMIC_SPECIES
Ho 164.93 Ho.upf
Al 26.98 Al.upf
Pd 106.42 Pd.upf
CELL_PARAMETERS angstrom
-2.462 2.462 8.893
2.462 -2.462 8.893
2.462 2.462 -8.893
ATOMIC_POSITIONS crystal
Ho 0.105 0.605 0.500
Ho 0.247 0.247 0.000
Ho 0.395 0.895 0.500
Ho 0.605 0.105 0.500
Ho 0.753 0.753 0.000
Ho 0.895 0.395 0.500
Al 0.000 0.000 0.000
Pd 0.500 0.500 0.000
```

Computed properties:
total magnetic moment = 0.000 μB per atom
space group = I4/mmm
E_form = -269 meV/atom
N(E_F) = 1.20 states/eV per atom
calculated total energy = -38.55 eV for the cell shown



Please write out number 3 again, unchanged.
Entry from Alexandria via LeMat-Bulk: a geometry-optimized Ho6AlPd structure (PBE). Values from VASP.

Quantum ESPRESSO input file:
```
&SYSTEM
  ibrav = 0, nat = 8, ntyp = 3
/
ATOMIC_SPECIES
Ho 164.93 Ho.upf
Al 26.98 Al.upf
Pd 106.42 Pd.upf
CELL_PARAMETERS angstrom
-2.462 2.462 8.893
2.462 -2.462 8.893
2.462 2.462 -8.893
ATOMIC_POSITIONS crystal
Ho 0.105 0.605 0.500
Ho 0.247 0.247 0.000
Ho 0.395 0.895 0.500
Ho 0.605 0.105 0.500
Ho 0.753 0.753 0.000
Ho 0.895 0.395 0.500
Al 0.000 0.000 0.000
Pd 0.500 0.500 0.000
```

Computed properties:
total magnetic moment = 0.000 μB per atom
space group = I4/mmm
E_form = -269 meV/atom
N(E_F) = 1.20 states/eV per atom
calculated total energy = -38.55 eV for the cell shown